1.
Compound: Sc2HgTe
Source: Alexandria
Functional: GGA-PBEsol
Structure: optimized geometry

Properties
N(E_F) ... 3.09 states/eV/f.u.
E_form (uncorrected) ... -0.71 eV/atom
Offset from the most stable computed form ... 0 meV per atom

Geometry as CIF:
```
data_Sc2HgTe
_chemical_formula_sum 'Sc2 Hg1 Te1'
_cell_length_a 4.058
_cell_length_b 4.058
_cell_length_c 5.788
_cell_angle_alpha 90.00
_cell_angle_beta 90.00
_cell_angle_gamma 90.00
_symmetry_space_group_name_H-M 'P 4 m m'
_symmetry_Int_Tables_number 99
loop_
_symmetry_equiv_pos_as_xyz
'x,y,z'
'-y,x,z'
'-x,-y,z'
'y,-x,z'
'-x,y,z'
'y,x,z'
'x,-y,z'
'-y,-x,z'
loop_
_atom_site_label
_atom_site_type_symbol
_atom_site_fract_x
_atom_site_fract_y
_atom_site_fract_z
Sc1 Sc 0.000 0.000 0.000
Sc2 Sc 0.500 0.500 0.499
Hg1 Hg 0.000 0.000 0.500
Te1 Te 0.500 0.500 0.999
```

---

2.
Compound: Sc2HgTe2
Source: Alexandria
Functional: GGA-PBEsol
Structure: optimized geometry

Properties
N(E_F) ... 2.45 states/eV/f.u.
E_form (uncorrected) ... -0.67 eV/atom

Geometry as CIF:
```
data_Sc2HgTe2
_chemical_formula_sum 'Sc4 Hg2 Te4'
_cell_length_a 4.896
_cell_length_b 4.896
_cell_length_c 12.344
_cell_angle_alpha 90.00
_cell_angle_beta 90.00
_cell_angle_gamma 90.00
_symmetry_space_group_name_H-M 'I 4/m m m'
_symmetry_Int_Tables_number 139
_symmetry_space_group_name_Hall '-I 4 2'
loop_
_atom_site_label
_atom_site_type_symbol
_atom_site_fract_x
_atom_site_fract_y
_atom_site_fract_z
Sc1 Sc 0.000 0.500 0.250
Hg1 Hg 0.000 0.000 0.000
Te1 Te 0.000 0.000 0.362
```

---

3.
Compound: Sc3HgTe
Source: Alexandria
Functional: GGA-PBEsol
Structure: optimized geometry

Properties
N(E_F) ... 3.41 states/eV/f.u.
E_form (uncorrected) ... -0.05 eV/atom

Geometry as CIF:
```
data_Sc3HgTe
_chemical_formula_sum 'Sc3 Hg1 Te1'
_cell_length_a 5.189
_cell_length_b 5.189
_cell_length_c 5.189
_cell_angle_alpha 90.00
_cell_angle_beta 90.00
_cell_angle_gamma 90.00
_symmetry_space_group_name_H-M 'P m -3 m'
_symmetry_Int_Tables_number 221
_symmetry_space_group_name_Hall '-P 4 2 3'
loop_
_atom_site_label
_atom_site_type_symbol
_atom_site_fract_x
_atom_site_fract_y
_atom_site_fract_z
Sc1 Sc 0.000 0.000 0.500
Hg1 Hg 0.000 0.000 0.000
Te1 Te 0.500 0.500 0.500
```

---

4.
Compound: Sc2HgTe
Source: Alexandria
Functional: GGA-PBEsol
Structure: optimized geometry

Properties
N(E_F) ... 3.74 states/eV/f.u.
E_form (uncorrected) ... -0.25 eV/atom
Offset from the most stable computed form ... 460 meV per atom

Geometry as CIF:
```
data_Sc2HgTe
_chemical_formula_sum 'Sc6 Hg3 Te3'
_cell_length_a 3.6811
_cell_length_b 3.6811
_cell_length_c 28.2424
_cell_angle_alpha 90.00
_cell_angle_beta 90.00
_cell_angle_gamma 120.00
_symmetry_space_group_name_H-M 'R -3 m'
_symmetry_Int_Tables_number 166
_symmetry_space_group_name_Hall '-R 3 2"'
loop_
_atom_site_label
_atom_site_type_symbol
_atom_site_fract_x
_atom_site_fract_y
_atom_site_fract_z
Sc1 Sc 0.0000 0.0000 0.1007
Hg1 Hg 0.0000 0.0000 0.0000
Te1 Te 0.0000 0.0000 0.5000
```

---

5.
Compound: Sc2HgTe
Source: Alexandria
Functional: GGA-PBEsol
Structure: optimized geometry

Properties
N(E_F) ... 2.99 states/eV/f.u.
E_form (uncorrected) ... -0.64 eV/atom
Offset from the most stable computed form ... 78 meV per atom

Geometry as CIF:
```
data_Sc2HgTe
_chemical_formula_sum 'Sc4 Hg2 Te2'
_cell_length_a 3.889
_cell_length_b 4.389
_cell_length_c 10.273
_cell_angle_alpha 90.00
_cell_angle_beta 90.00
_cell_angle_gamma 90.00
_symmetry_space_group_name_H-M 'I m m 2'
_symmetry_Int_Tables_number 44
loop_
_symmetry_equiv_pos_as_xyz
'x,y,z'
'-x,-y,z'
'-x,y,z'
'x,-y,z'
'x+1/2,y+1/2,z+1/2'
'-x+1/2,-y+1/2,z+1/2'
'-x+1/2,y+1/2,z+1/2'
'x+1/2,-y+1/2,z+1/2'
loop_
_atom_site_label
_atom_site_type_symbol
_atom_site_fract_x
_atom_site_fract_y
_atom_site_fract_z
Sc1 Sc 0.000 0.000 0.000
Sc2 Sc 0.000 0.500 0.246
Hg1 Hg 0.000 0.000 0.498
Te1 Te 0.000 0.500 0.749
```

---

6.
Compound: Sc2HgTe
Source: Alexandria
Functional: GGA-PBEsol
Structure: optimized geometry

Properties
N(E_F) ... 5.54 states/eV/f.u.
E_form (uncorrected) ... -0.59 eV/atom
Offset from the most stable computed form ... 125 meV per atom

Geometry as CIF:
```
data_Sc2HgTe
_chemical_formula_sum 'Sc8 Hg4 Te4'
_cell_length_a 7.040
_cell_length_b 7.040
_cell_length_c 7.040
_cell_angle_alpha 90.00
_cell_angle_beta 90.00
_cell_angle_gamma 90.00
_symmetry_space_group_name_H-M 'F m -3 m'
_symmetry_Int_Tables_number 225
_symmetry_space_group_name_Hall '-F 4 2 3'
loop_
_atom_site_label
_atom_site_type_symbol
_atom_site_fract_x
_atom_site_fract_y
_atom_site_fract_z
Sc1 Sc 0.250 0.250 0.250
Hg1 Hg 0.000 0.000 0.000
Te1 Te 0.000 0.000 0.500
```